Entry 1:
MgRuPt2 after structural relaxation, computed with PBE.

Summary:
E_form = 0.147 eV/atom

abc: 9.433 9.433 9.433
angles: 156.33 156.33 33.71
Sites, in units of the cell vectors:
Mg  0.000  0.000  0.000
Mg  0.750  0.250  0.500
Ru  0.250  0.750  0.500
Ru  0.500  0.500  0.000
Pt  0.131  0.625  0.006
Pt  0.375  0.381  0.506
Pt  0.619  0.125  0.994
Pt  0.875  0.869  0.494


Entry 2:
Ca2CrB10 after structural relaxation, computed with PBE.

Summary:
E_form = -0.279 eV/atom

abc: 5.697 11.461 4.187
angles: 90.00 90.00 90.00
Sites, in units of the cell vectors:
Ca  0.193  0.141  0.000
Ca  0.307  0.641  0.000
Ca  0.693  0.359  0.000
Ca  0.807  0.859  0.000
Cr  0.000  0.500  0.500
Cr  0.500  0.000  0.500
B  0.048  0.310  0.500
B  0.119  0.955  0.500
B  0.146  0.802  0.500
B  0.214  0.382  0.199
B  0.214  0.382  0.801
B  0.286  0.882  0.199
B  0.286  0.882  0.801
B  0.354  0.302  0.500
B  0.381  0.455  0.500
B  0.452  0.810  0.500
B  0.548  0.190  0.500
B  0.619  0.545  0.500
B  0.646  0.698  0.500
B  0.714  0.118  0.199
B  0.714  0.118  0.801
B  0.786  0.618  0.199
B  0.786  0.618  0.801
B  0.854  0.198  0.500
B  0.881  0.045  0.500
B  0.952  0.690  0.500


Entry 3:
Li2Y2ScTl2 after structural relaxation, computed with PBE.

Summary:
E_form = -0.173 eV/atom

abc: 9.283 9.283 9.283
angles: 29.52 29.52 29.52
Sites, in units of the cell vectors:
Li  0.116  0.116  0.116
Li  0.884  0.884  0.884
Y  0.375  0.375  0.375
Y  0.625  0.625  0.625
Sc  0.500  0.500  0.500
Tl  0.233  0.233  0.233
Tl  0.767  0.767  0.767


Entry 4:
CaTa2Ni after structural relaxation, computed with PBE.

Summary:
E_form = 0.856 eV/atom
Polymorph energy (0 for the lowest one) = 62.7 kJ/mol of atoms

abc: 4.631 4.631 4.631
angles: 60.00 60.00 60.00
Sites, in units of the cell vectors:
Ca  0.000  0.000  0.000
Ta  0.250  0.250  0.250
Ta  0.750  0.750  0.750
Ni  0.500  0.500  0.500


Entry 5:
Cu2Ni2H after structural relaxation, computed with PBE.

Summary:
Polymorph energy (0 for the lowest one) = 0.0 kJ/mol of atoms

abc: 3.579 3.579 3.717
angles: 90.00 90.00 90.00
Sites, in units of the cell vectors:
Cu  0.000  0.000  0.000
Cu  0.500  0.500  0.000
Ni  0.000  0.500  0.500
Ni  0.500  0.000  0.500
H  0.000  0.000  0.500


Entry 6:
Tm4TlAg2Pd after structural relaxation, computed with PBE.

Summary:
E_form = -0.484 eV/atom

abc: 8.803 8.803 8.803
angles: 33.62 33.62 33.62
Sites, in units of the cell vectors:
Tm  0.118  0.118  0.118
Tm  0.369  0.369  0.369
Tm  0.631  0.631  0.631
Tm  0.882  0.882  0.882
Tl  0.500  0.500  0.500
Ag  0.245  0.245  0.245
Ag  0.755  0.755  0.755
Pd  0.000  0.000  0.000


Entry 7:
ZrZnTe2 after structural relaxation, computed with PBE.

Summary:
E_tot = -17.6 eV for the cell shown

abc: 3.791 3.791 7.148
angles: 90.00 90.00 90.00
Sites, in units of the cell vectors:
Zr  0.000  0.000  0.000
Zn  0.500  0.500  0.748
Te  0.000  0.000  0.606
Te  0.500  0.500  0.182


Entry 8:
SrY2As after structural relaxation, computed with PBE.

Summary:
E_form = -0.466 eV/atom

abc: 6.313 3.929 6.608
angles: 90.00 118.47 90.00
Sites, in units of the cell vectors:
Sr  0.000  0.000  0.000
Y  0.328  0.500  0.656
Y  0.672  0.500  0.344
As  0.500  0.000  0.000


Entry 9:
PrY2Au2 after structural relaxation, computed with PBE.

Summary:
E_form = -0.618 eV/atom
Polymorph energy (0 for the lowest one) = 5.6 kJ/mol of atoms

abc: 5.315 4.946 10.876
angles: 90.00 95.60 90.00
Sites, in units of the cell vectors:
Pr  0.202  0.250  0.238
Pr  0.798  0.750  0.762
Y  0.249  0.750  0.493
Y  0.326  0.250  0.888
Y  0.674  0.750  0.112
Y  0.751  0.250  0.507
Au  0.160  0.750  0.011
Au  0.277  0.250  0.627
Au  0.723  0.750  0.373
Au  0.840  0.250  0.989


Entry 10:
LaScHSe2 after structural relaxation, computed with PBE.

Summary:
E_tot = -28.5 eV for the cell shown

abc: 5.240 5.240 3.851
angles: 90.00 90.00 90.00
Sites, in units of the cell vectors:
La  0.000  0.000  0.000
Sc  0.500  0.500  0.500
H  0.500  0.500  0.000
Se  0.000  0.500  0.500
Se  0.500  0.000  0.500


Entry 11:
Zr2MoAu after structural relaxation, computed with PBE.

Summary:
E_form = -0.173 eV/atom
Polymorph energy (0 for the lowest one) = 16.3 kJ/mol of atoms

abc: 3.068 3.068 8.663
angles: 90.00 90.00 106.16
Sites, in units of the cell vectors:
Zr  0.000  0.000  0.239
Zr  0.000  0.000  0.761
Mo  0.500  0.500  0.000
Au  0.500  0.500  0.500


Entry 12:
CeBeAlPd3 after structural relaxation, computed with PBE.

Summary:
E_form = -0.609 eV/atom

abc: 6.574 6.574 6.295
angles: 90.00 90.00 129.00
Sites, in units of the cell vectors:
Ce  0.206  0.794  0.750
Ce  0.794  0.206  0.250
Be  0.456  0.544  0.750
Be  0.544  0.456  0.250
Al  0.124  0.876  0.250
Al  0.876  0.124  0.750
Pd  0.245  0.245  0.000
Pd  0.245  0.245  0.500
Pd  0.331  0.669  0.250
Pd  0.669  0.331  0.750
Pd  0.755  0.755  0.000
Pd  0.755  0.755  0.500


Entry 13:
CsTi2FeSi after structural relaxation, computed with PBE.

Summary:
E_tot = -27.5 eV for the cell shown

abc: 4.826 4.826 4.455
angles: 90.00 90.00 90.00
Sites, in units of the cell vectors:
Cs  0.000  0.000  0.000
Ti  0.000  0.500  0.500
Ti  0.500  0.000  0.500
Fe  0.500  0.500  0.500
Si  0.500  0.500  0.000


Entry 14:
Ac5La2Pr5 after structural relaxation, computed with PBE.

Summary:
E_form = 0.048 eV/atom

abc: 9.624 9.624 10.542
angles: 123.04 123.04 36.59
Sites, in units of the cell vectors:
Ac  0.000  0.000  0.000
Ac  0.121  0.121  0.458
Ac  0.252  0.252  0.250
Ac  0.748  0.748  0.750
Ac  0.879  0.879  0.542
La  0.125  0.125  0.798
La  0.875  0.875  0.202
Pr  0.376  0.376  0.047
Pr  0.377  0.377  0.718
Pr  0.500  0.500  0.500
Pr  0.623  0.623  0.282
Pr  0.624  0.624  0.953


Entry 15:
Mg2SbPb after structural relaxation, computed with PBE.

Summary:
Polymorph energy (0 for the lowest one) = 3.2 kJ/mol of atoms

abc: 6.446 6.446 6.446
angles: 142.63 139.80 56.05
Sites, in units of the cell vectors:
Mg  0.000  0.000  0.000
Mg  0.727  0.227  0.500
Sb  0.201  0.701  0.500
Pb  0.442  0.442  0.000


Entry 16:
GaTe2As after structural relaxation, computed with PBE.

Summary:
Polymorph energy (0 for the lowest one) = 28.1 kJ/mol of atoms

abc: 5.174 5.174 5.174
angles: 60.00 60.00 60.00
Sites, in units of the cell vectors:
Ga  0.000  0.000  0.000
Te  0.250  0.250  0.250
Te  0.750  0.750  0.750
As  0.500  0.500  0.500


Entry 17:
CdRuPb after structural relaxation, computed with PBE.

Summary:
E_form = 0.457 eV/atom

abc: 3.224 3.224 7.136
angles: 90.00 90.00 120.00
Sites, in units of the cell vectors:
Cd  0.000  0.000  0.000
Ru  0.333  0.667  0.702
Pb  0.667  0.333  0.408


Entry 18:
Ac8Hg2Ru3 after structural relaxation, computed with PBE.

Summary:
E_form = -0.226 eV/atom

abc: 8.442 4.301 14.294
angles: 90.00 105.47 90.00
Sites, in units of the cell vectors:
Ac  0.076  0.000  0.379
Ac  0.172  0.500  0.860
Ac  0.353  0.500  0.623
Ac  0.416  0.000  0.121
Ac  0.584  0.000  0.879
Ac  0.647  0.500  0.377
Ac  0.828  0.500  0.140
Ac  0.924  0.000  0.621
Hg  0.242  0.500  0.252
Hg  0.758  0.500  0.748
Ru  0.245  0.000  0.726
Ru  0.500  0.500  0.000
Ru  0.755  0.000  0.274


Entry 19:
K2TaNi after structural relaxation, computed with PBE.

Summary:
E_form = 1.252 eV/atom
Polymorph energy (0 for the lowest one) = 64.7 kJ/mol of atoms

abc: 2.881 2.881 11.531
angles: 90.00 90.00 90.00
Sites, in units of the cell vectors:
K  0.000  0.000  0.218
K  0.000  0.000  0.782
Ta  0.500  0.500  0.500
Ni  0.500  0.500  0.000


Entry 20:
Tb2ThZn3 after structural relaxation, computed with PBE.

Summary:
E_form = -0.275 eV/atom
Polymorph energy (0 for the lowest one) = 0.5 kJ/mol of atoms

abc: 5.116 5.116 6.257
angles: 90.00 90.00 120.00
Sites, in units of the cell vectors:
Tb  0.333  0.667  0.161
Tb  0.667  0.333  0.839
Th  0.000  0.000  0.500
Zn  0.000  0.000  0.000
Zn  0.333  0.667  0.665
Zn  0.667  0.333  0.335


Entry 21:
Cd12Sn3Hg5 after structural relaxation, computed with PBE.

Summary:
E_form = 0.156 eV/atom

abc: 14.780 14.780 14.780
angles: 109.47 109.47 109.47
Sites, in units of the cell vectors:
Cd  0.066  0.229  0.141
Cd  0.066  0.337  0.925
Cd  0.075  0.641  0.412
Cd  0.075  0.934  0.663
Cd  0.088  0.729  0.663
Cd  0.088  0.859  0.425
Cd  0.141  0.066  0.229
Cd  0.141  0.575  0.912
Cd  0.163  0.229  0.588
Cd  0.163  0.434  0.575
Cd  0.229  0.141  0.066
Cd  0.229  0.588  0.163
Cd  0.271  0.337  0.912
Cd  0.271  0.434  0.359
Cd  0.337  0.912  0.271
Cd  0.337  0.925  0.066
Cd  0.359  0.271  0.434
Cd  0.359  0.588  0.925
Cd  0.412  0.075  0.641
Cd  0.412  0.837  0.771
Cd  0.425  0.088  0.859
Cd  0.425  0.837  0.566
Cd  0.434  0.359  0.271
Cd  0.434  0.575  0.163
Cd  0.566  0.425  0.837
Cd  0.566  0.641  0.729
Cd  0.575  0.163  0.434
Cd  0.575  0.912  0.141
Cd  0.588  0.163  0.229
Cd  0.588  0.925  0.359
Cd  0.641  0.412  0.075
Cd  0.641  0.729  0.566
Cd  0.663  0.075  0.934
Cd  0.663  0.088  0.729
Cd  0.729  0.566  0.641
Cd  0.729  0.663  0.088
Cd  0.771  0.412  0.837
Cd  0.771  0.859  0.934
Cd  0.837  0.566  0.425
Cd  0.837  0.771  0.412
Cd  0.859  0.425  0.088
Cd  0.859  0.934  0.771
Cd  0.912  0.141  0.575
Cd  0.912  0.271  0.337
Cd  0.925  0.066  0.337
Cd  0.925  0.359  0.588
Cd  0.934  0.663  0.075
Cd  0.934  0.771  0.859
Sn  0.125  0.250  0.375
Sn  0.125  0.375  0.750
Sn  0.250  0.375  0.125
Sn  0.250  0.875  0.625
Sn  0.375  0.125  0.250
Sn  0.375  0.750  0.125
Sn  0.625  0.250  0.875
Sn  0.625  0.875  0.750
Sn  0.750  0.125  0.375
Sn  0.750  0.625  0.875
Sn  0.875  0.625  0.250
Sn  0.875  0.750  0.625
Hg  0.000  0.000  0.000
Hg  0.000  0.000  0.500
Hg  0.000  0.500  0.000
Hg  0.000  0.500  0.500
Hg  0.125  0.750  0.875
Hg  0.125  0.875  0.250
Hg  0.250  0.125  0.875
Hg  0.250  0.625  0.375
Hg  0.375  0.250  0.625
Hg  0.375  0.625  0.750
Hg  0.500  0.000  0.000
Hg  0.500  0.000  0.500
Hg  0.500  0.500  0.000
Hg  0.500  0.500  0.500
Hg  0.625  0.375  0.250
Hg  0.625  0.750  0.375
Hg  0.750  0.375  0.625
Hg  0.750  0.875  0.125
Hg  0.875  0.125  0.750
Hg  0.875  0.250  0.125